#one
## Ga3MoH (PBE)

Data for a relaxed structure of Ga3MoH.

```
5
Lattice="4.0556 0.0000 0.0000 0.0000 4.0556 0.0000 0.0000 0.0000 4.0556" Properties=species:S:1:pos:R:3 pbc="T T T"
Ga 0.0000 0.0000 2.0278
Ga 0.0000 2.0278 0.0000
Ga 2.0278 0.0000 0.0000
Mo 2.0278 2.0278 2.0278
H 0.0000 0.0000 0.0000
```


#two
## Ga3MoH (PBE)

Data for a relaxed structure of Ga3MoH.

```
5
Lattice="4.9486 0.0000 0.0000 0.0000 4.9486 0.0000 0.0000 0.0000 4.9486" Properties=species:S:1:pos:R:3 pbc="T T T"
Ga 0.0000 0.0000 2.4743
Ga 0.0000 2.4743 0.0000
Ga 2.4743 0.0000 0.0000
Mo 0.0000 0.0000 0.0000
H 2.4743 2.4743 2.4743
```


Winner for stability: #one


#one
## Ga2MoPH (PBE)

Data for a relaxed structure of Ga2MoPH.

```
5
Lattice="5.0579 0.0000 0.0000 0.0000 5.0579 0.0000 0.0000 0.0000 3.4579" Properties=species:S:1:pos:R:3 pbc="T T T"
Ga 0.0000 2.5290 0.0000
Ga 2.5290 0.0000 0.0000
Mo 0.0000 0.0000 0.0000
P 2.5290 2.5290 1.7289
H 0.0000 0.0000 1.7289
```


#two
## Ga2MoPH (PBE)

Data for a relaxed structure of Ga2MoPH.

```
5
Lattice="4.7711 0.0000 0.0000 0.0000 4.7711 0.0000 0.0000 0.0000 4.5593" Properties=species:S:1:pos:R:3 pbc="T T T"
Ga 0.0000 2.3855 0.0000
Ga 2.3855 0.0000 0.0000
Mo 0.0000 0.0000 2.2796
P 0.0000 0.0000 0.0000
H 2.3855 2.3855 2.2796
```


Winner for stability: #one


#one
## GaH2N (PBE)

Data for a relaxed structure of GaH2N.

```
8
Lattice="-2.1815 2.1815 3.3083 2.1815 -2.1815 3.3083 2.1815 2.1815 -3.3083" Properties=species:S:1:pos:R:3 pbc="T T T"
Ga 2.1815 1.0907 0.8271
Ga 0.0000 1.0907 2.4812
H 0.0000 0.0000 0.0000
H 1.0907 1.0907 -1.6541
H 1.0907 -1.0907 1.6541
H 0.0000 2.1815 0.0000
N 2.1815 -1.0907 2.4812
N 0.0000 3.2722 0.8271
```


#two
## GaH2N (PBE)

Data for a relaxed structure of GaH2N.

```
4
Lattice="2.8887 0.0000 0.0000 0.0000 2.8887 0.0000 0.0000 0.0000 4.6230" Properties=species:S:1:pos:R:3 pbc="T T T"
Ga 0.0000 0.0000 0.0000
H 0.0000 0.0000 3.0475
H 1.4443 1.4443 1.5897
N 1.4443 1.4443 0.5585
```


#three
## GaH2N (PBE)

Data for a relaxed structure of GaH2N.

```
4
Lattice="2.9304 0.0000 0.0000 0.0000 4.3639 0.0000 -1.4748 0.0000 2.8287" Properties=species:S:1:pos:R:3 pbc="T T T"
Ga 0.0000 0.0000 0.0000
H -0.0652 2.1820 1.3578
H 1.6822 2.1820 0.2925
N 2.7137 2.1820 0.3439
```


#four
## GaH2N (PBE)

Data for a relaxed structure of GaH2N.

```
4
Lattice="1.3322 0.7691 5.0440 -1.3322 0.7691 5.0440 0.0000 -1.5383 5.0440" Properties=species:S:1:pos:R:3 pbc="T T T"
Ga 0.0000 0.0000 0.0000
H 0.0000 0.0000 2.6391
H 0.0000 0.0000 12.4928
N 0.0000 0.0000 7.5660
```


Winner for stability: #two


#one
## GaH2N (PBE)

Data for a relaxed structure of GaH2N.

```
4
Lattice="0.0000 2.4154 2.4154 2.4154 0.0000 2.4154 2.4154 2.4154 0.0000" Properties=species:S:1:pos:R:3 pbc="T T T"
Ga 0.0000 0.0000 0.0000
H 1.2077 1.2077 1.2077
H 3.6232 3.6232 3.6232
N 2.4154 2.4154 2.4154
```


#two
## GaH2N (PBE)

Data for a relaxed structure of GaH2N.

```
4
Lattice="2.7900 -1.6113 0.0000 2.7900 1.6113 0.0000 -1.7648 0.0000 4.9345" Properties=species:S:1:pos:R:3 pbc="T T T"
Ga 0.0000 0.0000 0.0000
H 1.8591 0.0000 1.6898
H 3.8147 0.0000 3.3621
N 1.8605 0.0000 0.6621
```


#three
## GaH2N (PBE)

Data for a relaxed structure of GaH2N.

```
4
Lattice="3.2070 0.0000 0.0000 1.6032 2.7779 0.0000 1.4501 -0.5888 6.8476" Properties=species:S:1:pos:R:3 pbc="T T T"
Ga 0.0000 0.0000 0.0000
H 1.5332 0.4655 3.6836
H 1.5705 -0.0445 3.1326
N 3.2067 1.8517 0.0002
```


#four
## GaH2N (PBE)

Data for a relaxed structure of GaH2N.

```
4
Lattice="2.8950 0.0000 0.0000 -0.0005 3.3433 0.0000 -0.9397 -1.6587 4.8932" Properties=species:S:1:pos:R:3 pbc="T T T"
Ga 0.0000 0.0000 0.0000
H 0.0624 1.6725 2.2369
H 1.6138 1.6716 1.3442
N 2.6311 1.6717 1.2546
```


Winner for stability: #two